[1]
Compound: PmTh3
Source: Alexandria via LeMat-Bulk
Functional: PBE
Structure: relaxed

## Properties
- energy (eV/atom) = -6.568
- crystal system = cubic
- calculated density (Mg/m³) = 10.646
- energy above the lowest structure with this stoichiometry (eV/atom) = 0.123
- calculated volume (Å³/cell) = 131.19
- M_tot (μB per formula unit) = 0.0

Lattice parameters (Å, degrees): 5.7035 5.7035 5.7035 60.00 60.00 60.00
Element x y z (fractional)
Th1 0.0000 0.0000 0.0000
Th2 0.7500 0.7500 0.7500
Th3 0.2500 0.2500 0.2500
Pm1 0.5000 0.5000 0.5000

***

[2]
Compound: Zr3RuBr
Source: Alexandria via LeMat-Bulk
Functional: PBE
Structure: relaxed

## Properties
- energy (eV/atom) = -7.035
- crystal system = cubic
- calculated density (Mg/m³) = 5.761
- energy above the lowest structure with this stoichiometry (eV/atom) = 0.000
- ΔE_f (raw) (eV per atom) = 0.2841
- calculated volume (Å³/cell) = 131.04
- M_tot (μB per formula unit) = 0.0

Lattice parameters (Å, degrees): 5.0793 5.0793 5.0793 90.00 90.00 90.00
Element x y z (fractional)
Ru1 0.0000 0.0000 0.0000
Br1 0.5000 0.5000 0.5000
Zr1 0.0000 0.5000 0.0000
Zr2 0.0000 0.0000 0.5000
Zr3 0.5000 0.0000 0.0000

***

[3]
Compound: Pm2Sm6Ho3Mg
Source: Alexandria via LeMat-Bulk
Functional: PBE
Structure: relaxed

## Properties
- energy (eV/atom) = -4.414
- crystal system = monoclinic
- calculated density (Mg/m³) = 7.341
- calculated volume (Å³/cell) = 387.07
- M_tot (μB per formula unit) = 0.0

Lattice parameters (Å, degrees): 6.1999 6.1999 11.8150 95.03 95.03 120.04
Element x y z (fractional)
Pm1 0.3331 0.6669 0.0000
Pm2 0.6669 0.3331 0.0000
Sm1 0.9166 0.5854 0.7483
Sm2 0.7519 0.7519 0.2527
Sm3 0.0834 0.4146 0.2517
Sm4 0.5854 0.9166 0.7483
Sm5 0.2481 0.2481 0.7473
Sm6 0.4146 0.0834 0.2517
Ho1 0.1659 0.8341 0.5000
Ho2 0.8341 0.1659 0.5000
Ho3 0.5000 0.5000 0.5000
Mg1 0.0000 0.0000 0.0000

***

[4]
Compound: Ni2AsBr
Source: Alexandria via LeMat-Bulk
Functional: PBE
Structure: relaxed

## Properties
- energy (eV/atom) = -4.440
- crystal system = orthorhombic
- calculated density (Mg/m³) = 6.850
- energy above the lowest structure with this stoichiometry (eV/atom) = 0.133
- ΔE_f (raw) (eV per atom) = 0.0312
- calculated volume (Å³/cell) = 65.99
- M_tot (μB per formula unit) = 0.0

Lattice parameters (Å, degrees): 3.1073 3.2931 6.4491 90.00 90.00 90.00
Element x y z (fractional)
As1 0.5000 0.2500 0.2500
Br1 0.5000 0.7500 0.7500
Ni1 0.0000 0.7503 0.0643
Ni2 0.0000 0.7497 0.4357

***

[5]
Compound: ScTa2Rh
Source: Alexandria via LeMat-Bulk
Functional: PBE
Structure: relaxed

## Properties
- energy (eV/atom) = -9.431
- crystal system = trigonal
- calculated density (Mg/m³) = 11.606
- energy above the lowest structure with this stoichiometry (eV/atom) = 0.273
- calculated volume (Å³/cell) = 72.94
- M_tot (μB per formula unit) = 0.0

Lattice parameters (Å, degrees): 9.2249 9.2249 9.2249 19.03 19.03 19.03
Element x y z (fractional)
Rh1 0.5036 0.5036 0.5036
Sc1 0.7546 0.7546 0.7546
Ta1 0.9970 0.9970 0.9970
Ta2 0.2448 0.2448 0.2448

***

[6]
Compound: Nd3Dy7Sc
Source: Alexandria via LeMat-Bulk
Functional: PBE
Structure: relaxed

## Properties
- energy (eV/atom) = -4.626
- crystal system = trigonal
- calculated density (Mg/m³) = 7.256
- calculated volume (Å³/cell) = 369.62
- M_tot (μB per formula unit) = 0.0

Lattice parameters (Å, degrees): 8.6291 7.0328 7.0328 120.00 90.00 90.00
Element x y z (fractional)
Nd1 0.7806 0.4992 0.5008
Nd2 0.7806 0.4992 0.9983
Nd3 0.7806 0.0017 0.5008
Dy1 0.1236 0.1682 0.8318
Dy2 0.1236 0.1682 0.3365
Dy3 0.1216 0.6667 0.3333
Dy4 0.4461 0.8324 0.1676
Dy5 0.4461 0.3352 0.1676
Dy6 0.4461 0.8324 0.6648
Dy7 0.1236 0.6635 0.8318
Sc1 0.4426 0.3333 0.6667

***

[7]
Compound: K2ReMo
Source: Alexandria via LeMat-Bulk
Functional: PBE
Structure: relaxed

## Properties
- energy (eV/atom) = -4.923
- crystal system = orthorhombic
- calculated density (Mg/m³) = 7.042
- energy above the lowest structure with this stoichiometry (eV/atom) = 0.594
- calculated volume (Å³/cell) = 84.97
- M_tot (μB per formula unit) = 0.0

Lattice parameters (Å, degrees): 3.0314 4.5788 6.1215 90.00 90.00 90.00
Element x y z (fractional)
K1 0.0000 0.0000 0.0000
K2 0.5000 0.5000 0.0000
Mo1 0.5000 0.0000 0.5000
Re1 0.0000 0.5000 0.5000

***

[8]
Compound: AcY2Hg2Pb2
Source: Alexandria via LeMat-Bulk
Functional: PBE
Structure: relaxed

## Properties
- energy (eV/atom) = -3.863
- crystal system = trigonal
- calculated density (Mg/m³) = 9.487
- calculated volume (Å³/cell) = 213.60
- M_tot (μB per formula unit) = 0.0

Lattice parameters (Å, degrees): 5.1751 5.1751 9.6820 74.50 74.50 60.00
Element x y z (fractional)
Ac1 0.0000 0.0000 0.0000
Y1 0.1331 0.1331 0.6007
Y2 0.8669 0.8669 0.3993
Hg1 0.5599 0.5599 0.3201
Hg2 0.4400 0.4400 0.6799
Pb1 0.7359 0.7359 0.7924
Pb2 0.2641 0.2641 0.2076